w | First-principles (PBE) data for a geometry-optimized Ba2TiCo structure, as listed in Alexandria.

ρ in kg/m3: 3911
M_tot in μB per formula unit: 0.00

abc: 12.2007 12.2007 8.8975
angles: 46.71 46.71 90.00
Sites, in units of the cell vectors:
Co: 0.0000 0.0000 0.0000
Co: 0.7500 0.2500 0.5000
Ba: 0.8029 0.1250 0.2500
Ba: 0.9471 0.6250 0.2500
Ba: 0.3750 0.1971 0.7500
Ba: 0.8750 0.0529 0.7500
Ti: 0.5000 0.5000 0.0000
Ti: 0.2500 0.7500 0.5000


x | First-principles (PBE) data for a geometry-optimized Ba2TiCo structure, as listed in Alexandria.

ρ in kg/m3: 5248
M_tot in μB per formula unit: 3.30

abc: 5.5471 5.5471 5.5471
angles: 60.00 60.00 60.00
Sites, in units of the cell vectors:
Co: 0.5000 0.5000 0.5000
Ba: 0.2500 0.2500 0.2500
Ba: 0.7500 0.7500 0.7500
Ti: 0.0000 0.0000 0.0000


Which one is most stable, and which one is least stable? w is the most stable of them, while x is the least stable.


w | First-principles (PBE) data for a geometry-optimized BaTi2Co structure, as listed in Alexandria.

ρ in kg/m3: 4321
M_tot in μB per formula unit: 1.93

abc: 5.4637 5.4637 8.4520
angles: 71.14 71.14 90.00
Sites, in units of the cell vectors:
Co: 0.5000 0.5000 0.0000
Co: 0.2500 0.7500 0.5000
Ba: 0.0000 0.0000 0.0000
Ba: 0.7500 0.2500 0.5000
Ti: 0.3750 0.1250 0.2500
Ti: 0.3750 0.6250 0.2500
Ti: 0.3750 0.6250 0.7500
Ti: 0.8750 0.6250 0.7500


x | First-principles (PBE) data for a geometry-optimized BaTi2Co structure, as listed in Alexandria.

ρ in kg/m3: 6509
M_tot in μB per formula unit: 0.00

abc: 4.7230 4.7230 4.7230
angles: 60.00 60.00 60.00
Sites, in units of the cell vectors:
Co: 0.0000 0.0000 0.0000
Ba: 0.5000 0.5000 0.5000
Ti: 0.2500 0.2500 0.2500
Ti: 0.7500 0.7500 0.7500


Which one is most stable, and which one is least stable? w is the most stable of them, while x is the least stable.


w | First-principles (PBE) data for a geometry-optimized BaVCo3 structure, as listed in Alexandria.

ρ in kg/m3: 6696
M_tot in μB per formula unit: 0.00

abc: 4.4902 4.4902 4.4902
angles: 90.00 90.00 90.00
Sites, in units of the cell vectors:
Co: 0.0000 0.5000 0.0000
Co: 0.0000 0.0000 0.5000
Co: 0.5000 0.0000 0.0000
Ba: 0.5000 0.5000 0.5000
V: 0.0000 0.0000 0.0000


x | First-principles (PBE) data for a geometry-optimized BaVCo3 structure, as listed in Alexandria.

ρ in kg/m3: 5634
M_tot in μB per formula unit: 5.93

abc: 4.7564 4.7564 4.7564
angles: 90.00 90.00 90.00
Sites, in units of the cell vectors:
Co: 0.0000 0.5000 0.0000
Co: 0.0000 0.0000 0.5000
Co: 0.5000 0.0000 0.0000
Ba: 0.0000 0.0000 0.0000
V: 0.5000 0.5000 0.5000


Which one is most stable, and which one is least stable? w is the most stable of them, while x is the least stable.